# LiYPaIr (GGA-PBE, relaxed)
# Symmetry = No. 216
# ΔH_f (0 K) = -0.256 eV per atom
data_LiYPaIr
_chemical_formula_sum 'Li1 Y1 Pa1 Ir1'
_symmetry_space_group_name_H-M 'P 1'
_symmetry_Int_Tables_number 1
_cell_length_a 4.927
_cell_length_b 4.927
_cell_length_c 4.927
_cell_angle_alpha 60.00
_cell_angle_beta 60.00
_cell_angle_gamma 60.00
loop_
_symmetry_equiv_pos_as_xyz
'x,y,z'
loop_
_atom_site_label
_atom_site_type_symbol
_atom_site_fract_x
_atom_site_fract_y
_atom_site_fract_z
Li1 Li 0.000 0.000 0.000
Y1 Y 0.250 0.250 0.250
Pa1 Pa 0.750 0.750 0.750
Ir1 Ir 0.500 0.500 0.500

=====

# CaCrCd2 (GGA-PBE, relaxed)
# Symmetry = No. 166
# ΔH_f (0 K) = 0.336 eV per atom
data_CaCrCd2
_chemical_formula_sum 'Ca1 Cr1 Cd2'
_symmetry_space_group_name_H-M 'P 1'
_symmetry_Int_Tables_number 1
_cell_length_a 9.551
_cell_length_b 9.551
_cell_length_c 9.551
_cell_angle_alpha 21.23
_cell_angle_beta 21.23
_cell_angle_gamma 21.23
loop_
_symmetry_equiv_pos_as_xyz
'x,y,z'
loop_
_atom_site_label
_atom_site_type_symbol
_atom_site_fract_x
_atom_site_fract_y
_atom_site_fract_z
Ca1 Ca 0.000 0.000 0.000
Cr1 Cr 0.500 0.500 0.500
Cd1 Cd 0.241 0.241 0.241
Cd2 Cd 0.759 0.759 0.759